## LiMnReO6 (PBE with a Hubbard U)

Data for crystalline LiMnReO6 at its relaxed geometry.

a b c (Å): 4.651 4.651 8.761
angles (deg): 90.00 90.00 90.00
Positions (direct):
Li 0.000 0.000 0.000
Li 0.500 0.500 0.500
Mn 0.000 0.000 0.326
Mn 0.500 0.500 0.826
Re 0.000 0.000 0.667
Re 0.500 0.500 0.167
O 0.182 0.182 0.496
O 0.210 0.210 0.172
O 0.210 0.210 0.809
O 0.290 0.710 0.309
O 0.290 0.710 0.672
O 0.318 0.682 0.996
O 0.682 0.318 0.996
O 0.710 0.290 0.309
O 0.710 0.290 0.672
O 0.790 0.790 0.172
O 0.790 0.790 0.809
O 0.818 0.818 0.496

**Space-group type**: No. 102
**M_tot**: 0.33 μB per atom
**E**: -130.451 eV per cell